Density functional theory data (GGA-PBE) for an optimized crystal structure of Na2Nb2Se3O.

```
Na2Nb2Se3O
1.0
3.396 0.000 0.000
-1.698 2.941 0.000
0.000 0.000 14.520
Na Nb O Se
2 2 1 3
direct
0.333 0.667 0.975
0.333 0.667 0.507
0.333 0.667 0.774
0.333 0.667 0.242
0.000 0.000 0.860
0.667 0.333 0.125
0.000 0.000 0.657
0.667 0.333 0.360
```

- Total magnetic moment: 0.0002 μB per atom
- Raw total energy: -5.9251 eV/atom